No. 1
This record from Alexandria via LeMat-Bulk describes a relaxed CsV3Co crystal. The functional is PBE.

Unit cell a=4.714 b=4.714 c=4.714 alpha=90.00 beta=90.00 gamma=90.00
Space group Pm-3m (No. 221)
Unique sites:
Cs 0.000 0.000 0.000
V 0.000 0.000 0.500
Co 0.500 0.500 0.500

## Properties
The crystal system is cubic. Its offset from the most stable computed form is 1601 meV per atom.

=====

No. 2
This record from Alexandria via LeMat-Bulk describes a relaxed Pr3Ga9Ni2 crystal. The functional is PBE.

Unit cell a=4.283 b=10.007 c=12.442 alpha=90.00 beta=90.00 gamma=90.00
Space group Immm (No. 71)
Unique sites:
Pr 0.000 0.000 0.000
Pr 0.000 0.000 0.319
Ga 0.000 0.278 0.123
Ga 0.000 0.367 0.338
Ga 0.000 0.500 0.000
Ni 0.000 0.224 0.500

## Properties
The crystal system is orthorhombic.

=====

No. 3
This record from Alexandria via LeMat-Bulk describes a relaxed KC2N3 crystal. The functional is PBE.

Unit cell a=8.647 b=3.995 c=13.112 alpha=90.00 beta=90.00 gamma=90.00
Space group Pnma (No. 62)
Unique sites:
K 0.123 0.250 0.122
C 0.014 0.250 0.638
C 0.245 0.250 0.867
N 0.118 0.250 0.899
N 0.123 0.750 0.320
N 0.144 0.250 0.611

## Properties
The crystal system is orthorhombic. As for the energy relative to the elements, uncorrected: -0.096 eV/atom. Its offset from the most stable computed form is 117 meV per atom.

=====

No. 4
This record from Alexandria via LeMat-Bulk describes a relaxed Ca2Zn12Ag5 crystal. The functional is PBE.

Unit cell a=9.3335 b=9.3335 c=13.3669 alpha=90.00 beta=90.00 gamma=120.00
Space group R-3m (No. 166, hexagonal axes)
Unique sites:
Ca 0.0000 0.0000 0.1585
Zn 0.0000 0.2996 0.5000
Zn 0.0115 0.5058 0.6533
Ag 0.0000 0.0000 0.3958
Ag 0.0000 0.5000 0.0000

## Properties
The crystal system is trigonal.

=====

No. 5
This record from Alexandria via LeMat-Bulk describes a relaxed AcHoAgPb crystal. The functional is PBE.

Unit cell a=7.822 b=7.822 c=7.822 alpha=90.00 beta=90.00 gamma=90.00
Space group F-43m (No. 216)
Unique sites:
Ac 0.000 0.000 0.000
Ho 0.000 0.000 0.500
Ag 0.250 0.250 0.750
Pb 0.250 0.250 0.250

## Properties
The crystal system is cubic.

=====

No. 6
This record from Alexandria via LeMat-Bulk describes a relaxed AcCu2Pt2 crystal. The functional is PBE.

Unit cell a=4.199 b=4.199 c=22.006 alpha=90.00 beta=90.00 gamma=90.00
Space group I4/mmm (No. 139)
Unique sites:
Ac 0.000 0.000 0.128
Cu 0.000 0.000 0.319
Cu 0.000 0.500 0.000
Pt 0.000 0.000 0.432
Pt 0.000 0.500 0.250

## Properties
The crystal system is tetragonal.

=====

No. 7
This record from Alexandria via LeMat-Bulk describes a relaxed KPuPbCl6 crystal. The functional is PBE.

Unit cell a=6.809 b=6.809 c=13.396 alpha=90.00 beta=90.00 gamma=90.00
Space group P4_2nm (No. 102)
Unique sites:
K 0.000 0.000 0.000
Pu 0.000 0.000 0.334
Pb 0.000 0.000 0.668
Cl 0.179 0.179 0.493
Cl 0.197 0.197 0.187
Cl 0.216 0.216 0.824

## Properties
The crystal system is tetragonal. As for the energy relative to the elements, uncorrected: -1.673 eV/atom.

=====

No. 8
This record from Alexandria via LeMat-Bulk describes a relaxed PrTmSc crystal. The functional is PBE.

Unit cell a=3.517 b=6.952 c=7.753 alpha=76.57 beta=76.92 gamma=89.93
Space group P-1 (No. 2)
Unique sites:
Pr 0.167 0.092 0.164
Tm 0.499 0.261 0.503
Sc 0.168 0.577 0.165

## Properties
The crystal system is triclinic. Its offset from the most stable computed form is 3 meV per atom.

=====

No. 9
This record from Alexandria via LeMat-Bulk describes a relaxed Y2SbAs crystal. The functional is PBE.

Unit cell a=4.472 b=5.906 c=7.885 alpha=90.00 beta=90.00 gamma=90.00
Space group Immm (No. 71)
Unique sites:
Y 0.000 0.000 0.237
Sb 0.000 0.500 0.000
As 0.000 0.500 0.500

## Properties
The crystal system is orthorhombic. As for the energy relative to the elements, uncorrected: -0.995 eV/atom.

=====

No. 10
This record from Alexandria via LeMat-Bulk describes a relaxed LiPr2PbO crystal. The functional is PBE.

Unit cell a=5.015 b=5.015 c=4.519 alpha=90.00 beta=90.00 gamma=90.00
Space group P4/mmm (No. 123)
Unique sites:
Li 0.000 0.000 0.000
Pr 0.000 0.500 0.500
Pb 0.500 0.500 0.000
O 0.000 0.000 0.500

## Properties
The crystal system is tetragonal. As for the energy relative to the elements, uncorrected: -1.397 eV/atom.

=====

No. 11
This record from Alexandria via LeMat-Bulk describes a relaxed Pr12Si6Sn crystal. The functional is PBE.

Unit cell a=10.363 b=10.363 c=10.363 alpha=90.00 beta=90.00 gamma=90.00
Space group Im-3 (No. 204)
Unique sites:
Pr 0.000 0.189 0.297
Si 0.000 0.387 0.500
Sn 0.000 0.000 0.000

## Properties
The crystal system is cubic. As for the energy relative to the elements, uncorrected: -0.549 eV/atom.

=====

No. 12
This record from Alexandria via LeMat-Bulk describes a relaxed TbTlPb crystal. The functional is PBE.

Unit cell a=5.2150 b=5.2150 c=3.6947 alpha=90.00 beta=90.00 gamma=120.00
Space group P3m1 (No. 156)
Unique sites:
Tb 0.0000 0.0000 0.0000
Tl 0.6667 0.3333 0.3206
Pb 0.3333 0.6667 0.6267

## Properties
The crystal system is trigonal. Its offset from the most stable computed form is 101 meV per atom.

=====

no.,energy (eV per atom)
1,-4.181
2,-4.356
3,-7.516
4,-1.910
5,-4.147
6,-5.461
7,-5.031
8,-5.134
9,-6.420
10,-5.425
11,-5.491
12,-3.785